[1]
A geometry-optimized Y4ErMg structure. Source: Alexandria, functional PBE-GGA.

Computed properties:
* total moment: 0.00 μB per formula unit
* ρ: 4.9 g/cm³
* DOS at the Fermi energy: 1.416 states/eV per atom
* space-group type: No. 12
* formation energy: 0.026 eV per atom
* energy above the lowest structure with this stoichiometry: 42 meV/atom

Lattice parameters (Å, degrees): 9.1194 9.1194 6.0219 107.00 107.00 22.73
With the nearest neighbours (Å) after each atom.
Positions (direct):
Y (0.1627, 0.1627, 0.4985)  2 Mg 3.42, 9 Y 3.47-3.60, 1 Er 3.50
Y (0.3328, 0.3328, 0.9910)  9 Y 3.47-3.59, 2 Er 3.48, 1 Mg 3.59
Y (0.6672, 0.6672, 0.0090)  9 Y 3.47-3.59, 2 Er 3.48, 1 Mg 3.59
Y (0.8373, 0.8373, 0.5015)  2 Mg 3.42, 9 Y 3.47-3.60, 1 Er 3.50
Er (0.0000, 0.0000, 0.0000)  6 Y 3.48-3.50, 4 Mg 3.51, 2 Er 3.59
Mg (0.5000, 0.5000, 0.5000)  6 Y 3.42-3.59, 4 Er 3.51, 2 Mg 3.59

---

[2]
A geometry-optimized Y12Er6Mg structure. Source: Alexandria, functional PBE-GGA.

Computed properties:
* total moment: 0.00 μB per formula unit
* ρ: 5.6 g/cm³
* DOS at the Fermi energy: 1.825 states/eV per atom
* space-group type: No. 166
* formation energy: 0.153 eV per atom
* energy above the lowest structure with this stoichiometry: 23 meV/atom

Lattice parameters (Å, degrees): 8.6002 8.6002 8.6002 97.44 97.44 97.44
With the nearest neighbours (Å) after each atom.
Positions (direct):
Y (0.0000, 0.2614, 0.7386)  4 Er 3.32-3.49, 1 Mg 3.38, 6 Y 3.38-3.57
Y (0.0000, 0.7386, 0.2614)  4 Er 3.32-3.49, 1 Mg 3.38, 6 Y 3.38-3.57
Y (0.1675, 0.5869, 0.5869)  5 Y 3.16-3.46
Y (0.2614, 0.0000, 0.7386)  4 Er 3.32-3.49, 1 Mg 3.38, 6 Y 3.38-3.57
Y (0.2614, 0.7386, 0.0000)  4 Er 3.32-3.49, 6 Y 3.38-3.57, 1 Mg 3.38
Y (0.4131, 0.4131, 0.8325)  5 Y 3.16-3.46
Y (0.4131, 0.8325, 0.4131)  5 Y 3.16-3.46
Y (0.5869, 0.1675, 0.5869)  5 Y 3.16-3.46
Y (0.5869, 0.5869, 0.1675)  5 Y 3.16-3.46
Y (0.7386, 0.0000, 0.2614)  4 Er 3.32-3.49, 6 Y 3.38-3.57, 1 Mg 3.38
Y (0.7386, 0.2614, 0.0000)  4 Er 3.32-3.49, 6 Y 3.38-3.57, 1 Mg 3.38
Y (0.8325, 0.4131, 0.4131)  5 Y 3.16-3.46
Er (0.1375, 0.1375, 0.4082)  4 Y 3.32-3.49, 2 Er 3.50, 1 Mg 3.55
Er (0.1375, 0.4082, 0.1375)  4 Y 3.32-3.49, 2 Er 3.50, 1 Mg 3.55
Er (0.4082, 0.1375, 0.1375)  4 Y 3.32-3.49, 2 Er 3.50, 1 Mg 3.55
Er (0.5918, 0.8625, 0.8625)  4 Y 3.32-3.49, 2 Er 3.50, 1 Mg 3.55
Er (0.8625, 0.5918, 0.8625)  4 Y 3.32-3.49, 2 Er 3.50, 1 Mg 3.55
Er (0.8625, 0.8625, 0.5918)  4 Y 3.32-3.49, 2 Er 3.50, 1 Mg 3.55
Mg (0.0000, 0.0000, 0.0000)  6 Y 3.38, 6 Er 3.55

---

[3]
A geometry-optimized YEr3Mg structure. Source: Alexandria, functional PBE-GGA.

Computed properties:
* total moment: 0.14 μB per formula unit
* ρ: 6.9 g/cm³
* DOS at the Fermi energy: 1.448 states/eV per atom
* space-group type: No. 2
* formation energy: -0.019 eV per atom

Lattice parameters (Å, degrees): 3.6039 6.6389 12.8736 86.30 89.99 74.25
With the nearest neighbours (Å) after each atom.
Positions (direct):
Y (0.2349, 0.0294, 0.2634)  2 Mg 3.30, 8 Er 3.49-3.63, 2 Y 3.60
Y (0.7651, 0.9706, 0.7366)  2 Mg 3.30, 8 Er 3.49-3.63, 2 Y 3.60
Er (0.0333, 0.4346, 0.6875)  2 Mg 3.33, 7 Er 3.44-3.60, 3 Y 3.49-3.52
Er (0.1500, 0.2002, 0.9367)  4 Mg 3.25-3.30, 5 Er 3.45-3.60, 2 Y 3.54
Er (0.3660, 0.7681, 0.5200)  9 Er 3.44-3.60, 3 Y 3.60-3.63
Er (0.6340, 0.2319, 0.4800)  9 Er 3.44-3.60, 3 Y 3.60-3.63
Er (0.8500, 0.7998, 0.0633)  4 Mg 3.25-3.30, 5 Er 3.45-3.60, 2 Y 3.54
Er (0.9667, 0.5654, 0.3125)  2 Mg 3.33, 7 Er 3.44-3.60, 3 Y 3.49-3.52
Mg (0.4381, 0.6246, 0.8777)  6 Er 3.25-3.33, 2 Y 3.30, 3 Mg 3.43-3.60
Mg (0.5619, 0.3754, 0.1223)  6 Er 3.25-3.33, 2 Y 3.30, 3 Mg 3.43-3.60

---

Q: Which of these has the highest DOS at the Fermi energy?
A: Y12Er6Mg

---

Q: Number 2 is which compound?
A: Y12Er6Mg

---

Q: Look up the DOS at the Fermi energy of the first one.
A: 1.416 states/eV per atom

---

Q: Which of these has the lowest ρ?
A: Y4ErMg